An optimized crystal structure of MgReHg. Source: Alexandria via LeMat-Bulk, functional PBE.

It has space group Fmm2 (No. 42), with a = 3.2681 Å, b = 4.6162 Å, c = 14.1948 Å, α = 90.00°, β = 90.00° and γ = 90.00°. The asymmetric unit holds Mg at (0.0000, 0.0000, 0.0000), Re at (0.0000, 0.0000, 0.6544) and Hg at (0.0000, 0.0000, 0.3286).

As for the density of states at the Fermi level: 6.9 states/eV/cell. For the relative energy among the computed polymorphs, the calculation gives 45.1 kJ per mole of atoms. The calculation puts the total energy at -51.4 eV for the cell shown. The value obtained for the formation energy is 499 meV per atom.